# Ho8As3AuSe4

A geometry-optimized Ho8As3AuSe4 structure (PBE, Alexandria).

Cell lengths 8.170, 8.208, 8.170 Å; angles 119.85, 120.00, 90.00 degrees
Sites, in units of the cell vectors:
Se  0.000  0.000  0.500
Ho  0.255  0.257  0.006
Ho  0.254  0.263  0.509
Ho  0.745  0.743  0.994
Ho  0.751  0.257  0.502
Ho  0.249  0.743  0.994
Se  0.000  0.000  0.000
Se  0.500  0.000  0.500
Ho  0.249  0.743  0.498
Ho  0.751  0.257  0.006
Ho  0.746  0.737  0.491
Au  0.000  0.500  0.000
As  0.000  0.500  0.500
As  0.500  0.500  0.500
Se  0.500  0.000  0.000
As  0.500  0.500  0.000

Properties
energy	-92.8	eV per cell
raw formation energy	-1.57	eV per atom
total magnetization	0.000	μB/atom

---

# Ho4Te2AsAu

A geometry-optimized Ho4Te2AsAu structure (PBE, Alexandria).

Cell lengths 4.156, 7.412, 7.448 Å; angles 71.45, 90.00, 90.00 degrees
Sites, in units of the cell vectors:
Te  0.500  0.000  0.500
As  0.000  0.500  0.500
Te  0.000  0.000  0.000
Ho  0.500  0.278  0.736
Ho  0.000  0.722  0.758
Ho  0.500  0.722  0.264
Au  0.500  0.500  0.000
Ho  0.000  0.278  0.242

Properties
energy	-42.4	eV per cell
raw formation energy	-1.23	eV per atom
total magnetization	0.000	μB/atom

---

# Ho6Te3As2Au

A geometry-optimized Ho6Te3As2Au structure (PBE, Alexandria).

Cell lengths 4.173, 8.602, 9.530 Å; angles 103.59, 102.65, 90.00 degrees
Sites, in units of the cell vectors:
As  0.168  0.336  0.335
Ho  0.674  0.567  0.348
Te  0.832  0.168  0.665
Ho  0.326  0.433  0.652
Te  0.500  0.500  0.000
Au  0.500  0.000  0.000
As  0.832  0.664  0.665
Ho  0.337  0.897  0.675
Ho  0.007  0.235  0.014
Te  0.168  0.832  0.335
Ho  0.993  0.765  0.986
Ho  0.663  0.103  0.325

Properties
energy	-65.3	eV per cell
raw formation energy	-1.32	eV per atom
total magnetization	0.000	μB/atom

---

# AsAu2I6

A geometry-optimized AsAu2I6 structure (PBE, Alexandria).

Cell lengths 7.377, 10.242, 10.242 Å; angles 78.30, 88.31, 88.31 degrees
Sites, in units of the cell vectors:
I  0.422  0.035  0.175
I  0.110  0.124  0.649
Au  0.758  0.469  0.325
As  0.750  0.918  0.082
I  0.890  0.876  0.351
Au  0.258  0.325  0.469
I  0.922  0.175  0.035
Au  0.742  0.675  0.531
I  0.390  0.351  0.876
I  0.578  0.965  0.825
I  0.121  0.494  0.268
I  0.879  0.506  0.732
Au  0.242  0.531  0.675
I  0.078  0.825  0.965
I  0.621  0.268  0.494
As  0.250  0.082  0.918
I  0.610  0.649  0.124
I  0.379  0.732  0.506

Properties
energy	-42.0	eV per cell
raw formation energy	-0.06	eV per atom
total magnetization	0.000	μB/atom
offset from the most stable computed form	0	meV/atom

---

# As2AuI

A geometry-optimized As2AuI structure (PBE, Alexandria).

Cell lengths 7.165, 7.165, 6.674 Å; angles 57.54, 57.54, 90.00 degrees
Sites, in units of the cell vectors:
I  0.500  0.500  0.000
As  0.375  0.319  0.750
As  0.069  0.625  0.250
As  0.681  0.125  0.250
Au  0.750  0.250  0.500
I  0.250  0.750  0.500
Au  0.000  0.000  0.000
As  0.875  0.931  0.750

Properties
energy	-25.0	eV per cell
raw formation energy	0.41	eV per atom
total magnetization	0.000	μB/atom
offset from the most stable computed form	0	meV/atom

---

# As2AuI

A geometry-optimized As2AuI structure (PBE, Alexandria).

Cell lengths 5.012, 5.012, 5.012 Å; angles 60.00, 60.00, 60.00 degrees
Sites, in units of the cell vectors:
Au  0.500  0.500  0.500
As  0.750  0.750  0.750
I  0.000  0.000  0.000
As  0.250  0.250  0.250

Properties
energy	-11.3	eV per cell
raw formation energy	0.71	eV per atom
total magnetization	0.000	μB/atom
offset from the most stable computed form	298	meV/atom

---

> The lowest raw formation energy belongs to which entry?

Ho8As3AuSe4

---

Copy entry 4 word for word.
# AsAu2I6

A geometry-optimized AsAu2I6 structure (PBE, Alexandria).

Cell lengths 7.377, 10.242, 10.242 Å; angles 78.30, 88.31, 88.31 degrees
Sites, in units of the cell vectors:
I  0.422  0.035  0.175
I  0.110  0.124  0.649
Au  0.758  0.469  0.325
As  0.750  0.918  0.082
I  0.890  0.876  0.351
Au  0.258  0.325  0.469
I  0.922  0.175  0.035
Au  0.742  0.675  0.531
I  0.390  0.351  0.876
I  0.578  0.965  0.825
I  0.121  0.494  0.268
I  0.879  0.506  0.732
Au  0.242  0.531  0.675
I  0.078  0.825  0.965
I  0.621  0.268  0.494
As  0.250  0.082  0.918
I  0.610  0.649  0.124
I  0.379  0.732  0.506

Properties
energy	-42.0	eV per cell
raw formation energy	-0.06	eV per atom
total magnetization	0.000	μB/atom
offset from the most stable computed form	0	meV/atom

---

> The highest raw formation energy belongs to which entry?

number 6